Lu2BiIr | PBE-GGA | optimized geometry

Output
Excess energy over the best structure of this formula in the dataset in eV per atom: 0.000
Energy relative to the elements in meV per atom: -737
Magnetization in μB per atom: 0.000

abc: 3.444 3.444 8.046
angles: 90.00 90.00 90.00
Fractional coordinates of all 4 atoms:
Lu: 0.000 0.000 0.801
Bi: 0.500 0.500 0.500
Ir: 0.500 0.500 0.000
Lu: 0.000 0.000 0.199